No. 1
Pr3RhC2N6 | Alexandria | PBE-GGA | optimized geometry; DFT total energy = -95.8 eV/f.u.; M_tot = 0.000 μB per atom; formation energy without anion corrections = -0.48 eV per atom
1.0
5.329 0.000 0.000
-2.665 4.615 0.000
0.000 0.000 6.606
Pr Rh C N
3 1 2 6
direct
0.000 0.000 0.000
0.333 0.667 0.668
0.667 0.333 0.332
0.000 0.000 0.500
0.333 0.667 0.270
0.667 0.333 0.730
0.184 0.368 0.269
0.184 0.816 0.269
0.368 0.184 0.731
0.632 0.816 0.269
0.816 0.184 0.731
0.816 0.632 0.731

=====

No. 2
SrTa2Se | Alexandria | PBE-GGA | optimized geometry; DFT total energy = -28.8 eV/f.u.; M_tot = 0.289 μB per atom; formation energy without anion corrections = 0.01 eV per atom
1.0
3.492 0.000 0.000
0.000 3.492 0.000
0.000 0.000 7.583
Sr Ta Se
1 2 1
direct
0.000 0.000 0.000
0.000 0.000 0.504
0.500 0.500 0.330
0.500 0.500 0.701